No. 1
# SrGd2 (PBE-GGA, relaxed)
data_SrGd2
_chemical_formula_sum 'Sr2 Gd4'
_cell_length_a 6.9758
_cell_length_b 6.9758
_cell_length_c 6.9758
_cell_angle_alpha 60.00
_cell_angle_beta 60.00
_cell_angle_gamma 60.00
_space_group_name_H-M_alt 'P 1'
_space_group_IT_number 1
loop_
_space_group_symop_operation_xyz
'x,y,z'
loop_
_atom_site_label
_atom_site_type_symbol
_atom_site_fract_x
_atom_site_fract_y
_atom_site_fract_z
Gd1 Gd 0.1250 0.6250 0.6250
Gd2 Gd 0.6250 0.1250 0.6250
Gd3 Gd 0.6250 0.6250 0.1250
Sr1 Sr 0.2500 0.2500 0.2500
Sr2 Sr 0.0000 0.0000 0.0000
Gd4 Gd 0.6250 0.6250 0.6250
# - symmetry = No. 227
# - DOS at the Fermi energy (states/eV/f.u.) = 7.15
# - ΔE_f (kJ per mole of atoms) = 20
# - E_tot (eV/cell) = -58.46

No. 2
# SrGd2 (PBE-GGA, relaxed)
data_SrGd2
_chemical_formula_sum 'Sr1 Gd2'
_cell_length_a 3.7549
_cell_length_b 3.7549
_cell_length_c 8.5874
_cell_angle_alpha 102.63
_cell_angle_beta 102.63
_cell_angle_gamma 90.00
_space_group_name_H-M_alt 'P 1'
_space_group_IT_number 1
loop_
_space_group_symop_operation_xyz
'x,y,z'
loop_
_atom_site_label
_atom_site_type_symbol
_atom_site_fract_x
_atom_site_fract_y
_atom_site_fract_z
Sr1 Sr 0.0000 0.0000 0.0000
Gd1 Gd 0.6821 0.6821 0.3643
Gd2 Gd 0.3179 0.3179 0.6357
# - symmetry = No. 139
# - DOS at the Fermi energy (states/eV/f.u.) = 4.68
# - ΔE_f (kJ per mole of atoms) = 11
# - E_tot (eV/cell) = -29.50

No. 3
# Sr3Gd (PBE-GGA, relaxed)
data_Sr3Gd
_chemical_formula_sum 'Sr3 Gd1'
_cell_length_a 5.7605
_cell_length_b 5.7605
_cell_length_c 5.7605
_cell_angle_alpha 90.00
_cell_angle_beta 90.00
_cell_angle_gamma 90.00
_space_group_name_H-M_alt 'P 1'
_space_group_IT_number 1
loop_
_space_group_symop_operation_xyz
'x,y,z'
loop_
_atom_site_label
_atom_site_type_symbol
_atom_site_fract_x
_atom_site_fract_y
_atom_site_fract_z
Sr1 Sr 0.0000 0.5000 0.5000
Gd1 Gd 0.0000 0.0000 0.0000
Sr2 Sr 0.5000 0.5000 0.0000
Sr3 Sr 0.5000 0.0000 0.5000
# - symmetry = No. 221
# - DOS at the Fermi energy (states/eV/f.u.) = 11.23
# - ΔE_f (kJ per mole of atoms) = 18
# - E_tot (eV/cell) = -18.40

No. 4
# Sr3Gd (PBE-GGA, relaxed)
data_Sr3Gd
_chemical_formula_sum 'Sr3 Gd1'
_cell_length_a 5.7652
_cell_length_b 5.7652
_cell_length_c 7.0429
_cell_angle_alpha 114.16
_cell_angle_beta 114.16
_cell_angle_gamma 90.00
_space_group_name_H-M_alt 'P 1'
_space_group_IT_number 1
loop_
_space_group_symop_operation_xyz
'x,y,z'
loop_
_atom_site_label
_atom_site_type_symbol
_atom_site_fract_x
_atom_site_fract_y
_atom_site_fract_z
Sr1 Sr 0.7500 0.2500 0.5000
Sr2 Sr 0.2500 0.7500 0.5000
Sr3 Sr 0.5000 0.5000 0.0000
Gd1 Gd 0.0000 0.0000 0.0000
# - symmetry = No. 139
# - DOS at the Fermi energy (states/eV/f.u.) = 11.26
# - ΔE_f (kJ per mole of atoms) = 17
# - E_tot (eV/cell) = -18.41

No. 5
# SrTbGd (PBE-GGA, relaxed)
data_SrTbGd
_chemical_formula_sum 'Sr1 Tb1 Gd1'
_cell_length_a 3.7557
_cell_length_b 3.7557
_cell_length_c 8.4587
_cell_angle_alpha 102.83
_cell_angle_beta 102.83
_cell_angle_gamma 90.00
_space_group_name_H-M_alt 'P 1'
_space_group_IT_number 1
loop_
_space_group_symop_operation_xyz
'x,y,z'
loop_
_atom_site_label
_atom_site_type_symbol
_atom_site_fract_x
_atom_site_fract_y
_atom_site_fract_z
Sr1 Sr 0.0014 0.0014 0.0028
Gd1 Gd 0.3183 0.3183 0.6366
Tb1 Tb 0.6803 0.6803 0.3606
# - symmetry = No. 107
# - DOS at the Fermi energy (states/eV/f.u.) = 4.30
# - ΔE_f (kJ per mole of atoms) = 11
# - E_tot (eV/cell) = -20.04

No. 6
# SrTbGd (PBE-GGA, relaxed)
data_SrTbGd
_chemical_formula_sum 'Sr1 Tb1 Gd1'
_cell_length_a 3.7433
_cell_length_b 3.7433
_cell_length_c 9.3075
_cell_angle_alpha 90.00
_cell_angle_beta 90.00
_cell_angle_gamma 120.00
_space_group_name_H-M_alt 'P 1'
_space_group_IT_number 1
loop_
_space_group_symop_operation_xyz
'x,y,z'
loop_
_atom_site_label
_atom_site_type_symbol
_atom_site_fract_x
_atom_site_fract_y
_atom_site_fract_z
Tb1 Tb 0.3333 0.6667 0.6473
Sr1 Sr 0.0000 0.0000 0.9977
Gd1 Gd 0.6667 0.3333 0.3550
# - symmetry = No. 156
# - DOS at the Fermi energy (states/eV/f.u.) = 4.94
# - ΔE_f (kJ per mole of atoms) = 14
# - E_tot (eV/cell) = -19.97

No. 7
# SrGd3Tc (PBE-GGA, relaxed)
data_SrGd3Tc
_chemical_formula_sum 'Sr1 Gd3 Tc1'
_cell_length_a 5.5199
_cell_length_b 5.5199
_cell_length_c 5.5199
_cell_angle_alpha 90.00
_cell_angle_beta 90.00
_cell_angle_gamma 90.00
_space_group_name_H-M_alt 'P 1'
_space_group_IT_number 1
loop_
_space_group_symop_operation_xyz
'x,y,z'
loop_
_atom_site_label
_atom_site_type_symbol
_atom_site_fract_x
_atom_site_fract_y
_atom_site_fract_z
Tc1 Tc 0.0000 0.0000 0.0000
Gd1 Gd 0.5000 0.0000 0.0000
Gd2 Gd 0.0000 0.5000 0.0000
Gd3 Gd 0.0000 0.0000 0.5000
Sr1 Sr 0.5000 0.5000 0.5000
# - symmetry = No. 221
# - DOS at the Fermi energy (states/eV/f.u.) = 4.09
# - ΔE_f (kJ per mole of atoms) = 4
# - E_tot (eV/cell) = -54.08

No. 8
# Sr2GdTe (PBE-GGA, relaxed)
data_Sr2GdTe
_chemical_formula_sum 'Sr2 Gd1 Te1'
_cell_length_a 4.2011
_cell_length_b 4.2011
_cell_length_c 11.9299
_cell_angle_alpha 79.86
_cell_angle_beta 79.86
_cell_angle_gamma 60.00
_space_group_name_H-M_alt 'P 1'
_space_group_IT_number 1
loop_
_space_group_symop_operation_xyz
'x,y,z'
loop_
_atom_site_label
_atom_site_type_symbol
_atom_site_fract_x
_atom_site_fract_y
_atom_site_fract_z
Sr1 Sr 0.1052 0.1052 0.6843
Gd1 Gd 0.0000 0.0000 0.0000
Te1 Te 0.5000 0.5000 0.5000
Sr2 Sr 0.8948 0.8948 0.3157
# - symmetry = No. 166
# - DOS at the Fermi energy (states/eV/f.u.) = 8.04
# - formation energy (no corrections) (eV per atom) = -0.400
# - E_tot (eV/cell) = -22.19

No. 9
# SrGdTh (PBE-GGA, relaxed)
data_SrGdTh
_chemical_formula_sum 'Sr1 Gd1 Th1'
_cell_length_a 3.6478
_cell_length_b 3.6478
_cell_length_c 8.8857
_cell_angle_alpha 101.84
_cell_angle_beta 101.84
_cell_angle_gamma 90.00
_space_group_name_H-M_alt 'P 1'
_space_group_IT_number 1
loop_
_space_group_symop_operation_xyz
'x,y,z'
loop_
_atom_site_label
_atom_site_type_symbol
_atom_site_fract_x
_atom_site_fract_y
_atom_site_fract_z
Th1 Th 0.6800 0.6800 0.3600
Gd1 Gd 0.3173 0.3173 0.6346
Sr1 Sr 0.0027 0.0027 0.0054
# - symmetry = No. 107
# - DOS at the Fermi energy (states/eV/f.u.) = 3.54
# - ΔE_f (kJ per mole of atoms) = 16
# - E_tot (eV/cell) = -22.67

No. 10
# SrGdTh (PBE-GGA, relaxed)
data_SrGdTh
_chemical_formula_sum 'Sr1 Gd1 Th1'
_cell_length_a 3.7088
_cell_length_b 3.7088
_cell_length_c 9.3664
_cell_angle_alpha 90.00
_cell_angle_beta 90.00
_cell_angle_gamma 120.00
_space_group_name_H-M_alt 'P 1'
_space_group_IT_number 1
loop_
_space_group_symop_operation_xyz
'x,y,z'
loop_
_atom_site_label
_atom_site_type_symbol
_atom_site_fract_x
_atom_site_fract_y
_atom_site_fract_z
Th1 Th 0.6667 0.3333 0.3508
Sr1 Sr 0.0000 0.0000 0.0051
Gd1 Gd 0.3333 0.6667 0.6441
# - symmetry = No. 156
# - DOS at the Fermi energy (states/eV/f.u.) = 4.73
# - ΔE_f (kJ per mole of atoms) = 17
# - E_tot (eV/cell) = -22.65

No. 11
# SrGdTl2 (PBE-GGA, relaxed)
data_SrGdTl2
_chemical_formula_sum 'Sr1 Gd1 Tl2'
_cell_length_a 3.9170
_cell_length_b 3.9170
_cell_length_c 8.0691
_cell_angle_alpha 90.00
_cell_angle_beta 90.00
_cell_angle_gamma 90.00
_space_group_name_H-M_alt 'P 1'
_space_group_IT_number 1
loop_
_space_group_symop_operation_xyz
'x,y,z'
loop_
_atom_site_label
_atom_site_type_symbol
_atom_site_fract_x
_atom_site_fract_y
_atom_site_fract_z
Tl1 Tl 0.0000 0.0000 0.2313
Gd1 Gd 0.5000 0.5000 0.0000
Sr1 Sr 0.5000 0.5000 0.5000
Tl2 Tl 0.0000 0.0000 0.7687
# - symmetry = No. 123
# - DOS at the Fermi energy (states/eV/f.u.) = 3.17
# - ΔE_f (kJ per mole of atoms) = -39
# - E_tot (eV/cell) = -22.10

No. 12
# SrGd2Tl (PBE-GGA, relaxed)
data_SrGd2Tl
_chemical_formula_sum 'Sr1 Gd2 Tl1'
_cell_length_a 5.0646
_cell_length_b 5.0305
_cell_length_c 5.0305
_cell_angle_alpha 90.00
_cell_angle_beta 90.00
_cell_angle_gamma 90.00
_space_group_name_H-M_alt 'P 1'
_space_group_IT_number 1
loop_
_space_group_symop_operation_xyz
'x,y,z'
loop_
_atom_site_label
_atom_site_type_symbol
_atom_site_fract_x
_atom_site_fract_y
_atom_site_fract_z
Gd1 Gd 0.0000 0.5000 0.0000
Gd2 Gd 0.0000 0.0000 0.5000
Tl1 Tl 0.5000 0.5000 0.5000
Sr1 Sr 0.5000 0.0000 0.0000
# - symmetry = No. 123
# - DOS at the Fermi energy (states/eV/f.u.) = 5.66
# - ΔE_f (kJ per mole of atoms) = -9
# - E_tot (eV/cell) = -32.57